The following is a GGA-PBE calculation of crystalline Tb2AuC at its relaxed geometry, from Alexandria.

a b c (Å): 3.704 6.405 7.418
angles (deg): 106.42 90.00 90.00
Fractional coordinates of all 8 atoms:
Tb (0.250, 0.021, 0.811)
Tb (0.750, 0.979, 0.189)
Tb (0.250, 0.479, 0.189)
Tb (0.750, 0.521, 0.811)
Au (0.750, 0.750, 0.500)
Au (0.250, 0.250, 0.500)
C (0.750, 0.250, 0.000)
C (0.250, 0.750, 0.000)

Calculated values
polymorph energy (0 for the lowest one)	0.000	eV per atom
magnetization	0.01	μB per formula unit
formation energy from the elements	-0.4901	eV/atom

=====

The following is a GGA-PBE calculation of crystalline Tb12Au3C5 at its relaxed geometry, from Alexandria.

a b c (Å): 13.620 13.620 13.620
angles (deg): 109.47 109.47 109.47
Fractional coordinates of all 80 atoms:
Tb (0.703, 0.117, 0.021)
Tb (0.318, 0.521, 0.405)
Tb (0.979, 0.383, 0.297)
Tb (0.521, 0.203, 0.117)
Tb (0.587, 0.703, 0.682)
Tb (0.979, 0.595, 0.182)
Tb (0.318, 0.797, 0.413)
Tb (0.095, 0.913, 0.117)
Tb (0.595, 0.979, 0.682)
Tb (0.703, 0.587, 0.182)
Tb (0.797, 0.479, 0.383)
Tb (0.818, 0.905, 0.021)
Tb (0.117, 0.703, 0.521)
Tb (0.383, 0.405, 0.087)
Tb (0.087, 0.905, 0.383)
Tb (0.413, 0.117, 0.595)
Tb (0.087, 0.182, 0.203)
Tb (0.479, 0.682, 0.095)
Tb (0.818, 0.913, 0.297)
Tb (0.117, 0.413, 0.095)
Tb (0.383, 0.979, 0.797)
Tb (0.595, 0.617, 0.413)
Tb (0.905, 0.818, 0.521)
Tb (0.797, 0.318, 0.913)
Tb (0.405, 0.383, 0.587)
Tb (0.095, 0.182, 0.479)
Tb (0.203, 0.682, 0.087)
Tb (0.182, 0.087, 0.703)
Tb (0.617, 0.021, 0.203)
Tb (0.883, 0.587, 0.905)
Tb (0.521, 0.318, 0.905)
Tb (0.587, 0.883, 0.405)
Tb (0.913, 0.818, 0.797)
Tb (0.913, 0.095, 0.617)
Tb (0.883, 0.297, 0.479)
Tb (0.182, 0.095, 0.979)
Tb (0.617, 0.595, 0.913)
Tb (0.405, 0.021, 0.318)
Tb (0.297, 0.413, 0.818)
Tb (0.203, 0.521, 0.617)
Tb (0.905, 0.087, 0.883)
Tb (0.682, 0.203, 0.587)
Tb (0.479, 0.797, 0.883)
Tb (0.021, 0.405, 0.818)
Tb (0.413, 0.297, 0.318)
Tb (0.021, 0.617, 0.703)
Tb (0.682, 0.479, 0.595)
Tb (0.297, 0.883, 0.979)
C (0.125, 0.375, 0.250)
C (0.000, 0.500, 0.000)
C (0.000, 0.000, 0.000)
C (0.375, 0.250, 0.125)
C (0.500, 0.000, 0.500)
C (0.500, 0.500, 0.000)
C (0.125, 0.750, 0.375)
C (0.750, 0.125, 0.875)
C (0.750, 0.625, 0.375)
C (0.375, 0.125, 0.750)
C (0.625, 0.875, 0.250)
C (0.500, 0.500, 0.500)
C (0.500, 0.000, 0.000)
C (0.000, 0.000, 0.500)
C (0.250, 0.375, 0.625)
C (0.250, 0.875, 0.125)
C (0.000, 0.500, 0.500)
C (0.875, 0.250, 0.625)
C (0.625, 0.750, 0.875)
C (0.875, 0.625, 0.750)
Au (0.750, 0.375, 0.125)
Au (0.875, 0.750, 0.125)
Au (0.375, 0.750, 0.625)
Au (0.250, 0.125, 0.375)
Au (0.875, 0.125, 0.250)
Au (0.375, 0.625, 0.250)
Au (0.625, 0.375, 0.750)
Au (0.125, 0.875, 0.750)
Au (0.750, 0.875, 0.625)
Au (0.625, 0.250, 0.375)
Au (0.125, 0.250, 0.875)
Au (0.250, 0.625, 0.875)

Calculated values
magnetization	0.00	μB per formula unit
formation energy from the elements	-0.2632	eV/atom

=====

The following is a GGA-PBE calculation of crystalline Tb3AuC at its relaxed geometry, from Alexandria.

a b c (Å): 4.877 4.877 4.877
angles (deg): 90.00 90.00 90.00
Fractional coordinates of all 5 atoms:
Tb (0.000, 0.500, 0.000)
Tb (0.000, 0.000, 0.500)
Tb (0.500, 0.000, 0.000)
C (0.000, 0.000, 0.000)
Au (0.500, 0.500, 0.500)

Calculated values
polymorph energy (0 for the lowest one)	0.116	eV per atom
magnetization	0.01	μB per formula unit
formation energy from the elements	-0.3783	eV/atom

=====

The following is a GGA-PBE calculation of crystalline Tb2AuC at its relaxed geometry, from Alexandria.

a b c (Å): 3.594 3.594 8.662
angles (deg): 78.03 78.03 60.00
Fractional coordinates of all 4 atoms:
Tb (0.114, 0.114, 0.659)
Tb (0.886, 0.886, 0.341)
C (0.500, 0.500, 0.500)
Au (0.000, 0.000, 0.000)

Calculated values
polymorph energy (0 for the lowest one)	0.348	eV per atom
magnetization	0.00	μB per formula unit
formation energy from the elements	-0.1421	eV/atom

=====

The following is a GGA-PBE calculation of crystalline Tb3AuC at its relaxed geometry, from Alexandria.

a b c (Å): 3.658 8.721 14.377
angles (deg): 90.00 90.00 90.00
Fractional coordinates of all 20 atoms:
Tb (0.750, 0.194, 0.308)
Tb (0.250, 0.677, 0.974)
Tb (0.250, 0.008, 0.101)
Tb (0.250, 0.508, 0.399)
Tb (0.250, 0.177, 0.526)
Tb (0.750, 0.492, 0.601)
Tb (0.250, 0.306, 0.808)
Tb (0.750, 0.992, 0.899)
Tb (0.750, 0.323, 0.026)
Tb (0.750, 0.694, 0.192)
Tb (0.750, 0.823, 0.474)
Tb (0.250, 0.806, 0.692)
Au (0.250, 0.905, 0.313)
Au (0.750, 0.095, 0.687)
Au (0.750, 0.595, 0.813)
Au (0.250, 0.405, 0.187)
C (0.250, 0.662, 0.547)
C (0.750, 0.338, 0.453)
C (0.750, 0.838, 0.047)
C (0.250, 0.162, 0.953)

Calculated values
polymorph energy (0 for the lowest one)	0.000	eV per atom
magnetization	0.00	μB per formula unit
formation energy from the elements	-0.4947	eV/atom

=====

The following is a GGA-PBE calculation of crystalline TbTh2AuC at its relaxed geometry, from Alexandria.

a b c (Å): 5.025 5.025 4.889
angles (deg): 90.00 90.00 90.00
Fractional coordinates of all 5 atoms:
Tb (0.000, 0.000, 0.500)
Th (0.000, 0.500, 0.000)
Th (0.500, 0.000, 0.000)
Au (0.500, 0.500, 0.499)
C (0.000, 0.000, 0.000)

Calculated values
magnetization	0.00	μB per formula unit
formation energy from the elements	-0.3121	eV/atom